Entry 1:
Material: ZrCo2As
Method: DFT, GGA-PBE
State: optimized geometry

abc: 3.1214 3.1214 6.0315
angles: 90.00 90.00 90.00
Sites, in units of the cell vectors:
Zr 0.0000 0.0000 0.0000
Co 0.0000 0.0000 0.5057
Co 0.5000 0.5000 0.7413
As 0.5000 0.5000 0.3417

Values from the calculation:
The total energy is -28.02 eV/f.u. Its total moment is 1.1 μB per formula unit. The formation energy comes out at -0.61 eV per formula unit. As for the space group: P4mm, No. 99. For the density of states at the Fermi level, the calculation gives 1.1788 states/eV per atom.

Entry 2:
Material: SrHg2BiPb2
Method: DFT, GGA-PBE
State: optimized geometry

abc: 7.5382 7.5382 7.5382
angles: 133.45 133.45 67.95
Sites, in units of the cell vectors:
Sr 0.0000 0.0000 0.0000
Hg 0.2586 0.2586 0.0000
Hg 0.7414 0.7414 0.0000
Bi 0.5000 0.5000 0.0000
Pb 0.2500 0.7500 0.5000
Pb 0.7500 0.2500 0.5000

Values from the calculation:
The total energy is -13.36 eV/f.u. Its total moment is 0.0 μB per formula unit. The formation energy comes out at 0.23 eV per formula unit. As for the space group: I4/mmm, No. 139. For the density of states at the Fermi level, the calculation gives 0.6413 states/eV per atom.

Entry 3:
Material: NaGeOs3
Method: DFT, GGA-PBE
State: optimized geometry

abc: 4.4895 4.4895 4.4895
angles: 90.00 90.00 90.00
Sites, in units of the cell vectors:
Na 0.0000 0.0000 0.0000
Ge 0.5000 0.5000 0.5000
Os 0.0000 0.0000 0.5000
Os 0.0000 0.5000 0.0000
Os 0.5000 0.0000 0.0000

Values from the calculation:
The calculation puts the energy above the most stable polymorph in this dataset at 1340 meV per atom. The total energy is -24.44 eV/f.u. Its total moment is 2.7 μB per formula unit. The formation energy comes out at 15.19 eV per formula unit. As for the space group: Pm-3m, No. 221. For the density of states at the Fermi level, the calculation gives 1.2947 states/eV per atom.

Entry 4:
Material: LaAg2Pb
Method: DFT, GGA-PBE
State: optimized geometry

abc: 5.2284 5.2284 5.2284
angles: 120.44 120.44 89.24
Sites, in units of the cell vectors:
La 0.0000 0.0000 0.0000
Ag 0.5000 0.5000 0.0000
Ag 0.7500 0.2500 0.5000
Pb 0.2500 0.7500 0.5000

Values from the calculation:
The total energy is -15.33 eV/f.u. Its total moment is 0.0 μB per formula unit. The formation energy comes out at -0.99 eV per formula unit. As for the space group: I-4m2, No. 119. For the density of states at the Fermi level, the calculation gives 0.4907 states/eV per atom.

Entry 5:
Material: ZnCd2Ir
Method: DFT, GGA-PBE
State: optimized geometry

abc: 3.1481 3.1481 7.2226
angles: 90.00 90.00 90.00
Sites, in units of the cell vectors:
Zn 0.0000 0.0000 0.0000
Cd 0.0000 0.0000 0.5706
Cd 0.5000 0.5000 0.2610
Ir 0.5000 0.5000 0.8232

Values from the calculation:
The total energy is -11.88 eV/f.u. Its total moment is 0.0 μB per formula unit. The formation energy comes out at 0.09 eV per formula unit. As for the space group: P4mm, No. 99. For the density of states at the Fermi level, the calculation gives 0.3228 states/eV per atom.

Entry 6:
Material: LiGdGaNi
Method: DFT, GGA-PBE
State: optimized geometry

abc: 4.5570 4.5570 4.5570
angles: 60.00 60.00 60.00
Sites, in units of the cell vectors:
Li 0.0000 0.0000 0.0000
Gd 0.2500 0.2500 0.2500
Ga 0.7500 0.7500 0.7500
Ni 0.5000 0.5000 0.5000

Values from the calculation:
The total energy is -26.29 eV/f.u. Its total moment is 7.9 μB per formula unit. The formation energy comes out at -1.49 eV per formula unit. As for the space group: F-43m, No. 216. For the density of states at the Fermi level, the calculation gives 0.9476 states/eV per atom.

Entry 7:
Material: ZnReSb
Method: DFT, GGA-PBE
State: optimized geometry

abc: 8.1879 7.9304 2.9552
angles: 84.39 74.56 21.05
Sites, in units of the cell vectors:
Zn 0.0000 0.0000 0.0000
Re 0.3618 0.3618 0.6382
Sb 0.7142 0.7142 0.2858

Values from the calculation:
The calculation puts the uncorrected formation energy at 0.67 eV per atom. The calculation puts the energy above the most stable polymorph in this dataset at 406 meV per atom. The total energy is -15.84 eV/f.u. Its total moment is 0.0 μB per formula unit. As for the space group: Fmm2, No. 42. For the density of states at the Fermi level, the calculation gives 0.4072 states/eV per atom.

Entry 8:
Material: Tb5Pr3Nd
Method: DFT, GGA-PBE
State: optimized geometry

abc: 9.4246 9.4246 12.4612
angles: 126.56 126.56 52.09
Sites, in units of the cell vectors:
Tb 0.0182 0.4113 0.7817
Tb 0.1396 0.1396 0.9461
Tb 0.1803 0.8197 0.0000
Tb 0.3873 0.3873 0.1253
Tb 0.4113 0.0182 0.7817
Tb 0.5887 0.9818 0.2183
Tb 0.6127 0.6127 0.8747
Tb 0.8197 0.1803 0.0000
Tb 0.8604 0.8604 0.0539
Tb 0.9818 0.5887 0.2183
Pr 0.0574 0.0574 0.4200
Pr 0.2042 0.2042 0.3044
Pr 0.5000 0.5000 0.0000
Pr 0.5000 0.5000 0.5000
Pr 0.7958 0.7958 0.6956
Pr 0.9426 0.9426 0.5800
Nd 0.3407 0.3407 0.6496
Nd 0.6593 0.6593 0.3504

Values from the calculation:
The total energy is -38.97 eV/f.u. Its total moment is 0.0 μB per formula unit. The formation energy comes out at 3.29 eV per formula unit. As for the space group: C2/m, No. 12. For the density of states at the Fermi level, the calculation gives 1.4476 states/eV per atom.